## TaBOs (PBE-GGA)

Data for a relaxed TaBOs crystal.

Computed properties:
Calculated density: 16.6 Mg/m³
Raw total energy: -10.322 eV per atom

Structure (POSCAR):
```
TaBOs
1.0
-3.875 -1.112 -4.414
2.692 0.004 -2.364
0.881 -7.002 0.992
B Ta Os
4 4 4
Cartesian
-0.093 -2.867 -1.467 B
-2.233 -1.812 -3.902 B
-0.210 -5.243 -4.319 B
1.930 -6.298 -1.884 B
1.171 -4.773 -0.031 Ta
-0.639 -6.341 -2.095 Ta
-1.473 -3.338 -5.755 Ta
0.337 -1.769 -3.691 Ta
-1.487 -3.813 -3.057 Os
0.115 -0.593 -1.227 Os
1.185 -4.297 -2.729 Os
-0.417 -7.518 -4.559 Os
```